Here is a geometry-optimized Ti2V4Re structure from Alexandria via LeMat-Bulk. Energies are from PBE. Values from VASP.

Geometry as Quantum ESPRESSO input:
```
&SYSTEM
  ibrav = 0, nat = 7, ntyp = 3
/
ATOMIC_SPECIES
Ti 47.87 Ti.upf
V 50.94 V.upf
Re 186.21 Re.upf
CELL_PARAMETERS angstrom
-0.2520 4.3908 0.7276
0.3552 -0.7364 4.5673
4.9240 0.7174 -2.6241
ATOMIC_POSITIONS crystal
Ti 0.5000 0.6485 0.2971
Ti 0.5000 0.3515 0.7029
V 0.5000 0.1078 0.2156
V 0.0000 0.8358 0.6715
V 0.5000 0.8922 0.7844
V 0.0000 0.1642 0.3285
Re 0.0000 0.5000 0.0000
```

Results
formation enthalpy at 0 K	3.5	eV per formula unit
symmetry	Cmmm
total magnetization	0.000	μB per atom
D(E_F)	7.82	states/eV/f.u.